Here is a relaxed Cs3VS3 crystal from the Alexandria database. Energies are from PBE.

Unit cell a=8.362 b=13.856 c=10.906 alpha=90.00 beta=127.76 gamma=90.00
Space group P2_1/c (No. 14)
Inequivalent atoms, fractional coordinates:
Cs: 0.098 0.145 0.478 [4 per cell]
Cs: 0.143 0.064 0.891 [4 per cell]
Cs: 0.372 0.698 0.588 [4 per cell]
V: 0.445 0.046 0.362 [4 per cell]
S: 0.170 0.145 0.205 [4 per cell]
S: 0.367 0.606 0.890 [4 per cell]
S: 0.386 0.539 0.239 [4 per cell]

## Properties
final energy	-126.612	eV for the cell shown
uncorrected formation energy	-1084	meV/atom

Here is a relaxed CsV3S crystal from the Alexandria database. Energies are from PBE.

Unit cell a=4.772 b=4.772 c=4.772 alpha=90.00 beta=90.00 gamma=90.00
Space group Pm-3m (No. 221)
Inequivalent atoms, fractional coordinates:
Cs: 0.000 0.000 0.000 [1 per cell]
V: 0.000 0.000 0.500 [3 per cell]
S: 0.500 0.500 0.500 [1 per cell]

## Properties
final energy	-18.859	eV for the cell shown
energy relative to the lowest polymorph listed for this composition	1721	meV per atom
uncorrected formation energy	2696	meV/atom

Here is a relaxed CsV3S crystal from the Alexandria database. Energies are from PBE.

Unit cell a=4.552 b=4.552 c=4.552 alpha=90.00 beta=90.00 gamma=90.00
Space group Pm-3m (No. 221)
Inequivalent atoms, fractional coordinates:
Cs: 0.000 0.000 0.000 [1 per cell]
V: 0.000 0.500 0.500 [3 per cell]
S: 0.500 0.500 0.500 [1 per cell]

## Properties
final energy	-27.462	eV for the cell shown
energy relative to the lowest polymorph listed for this composition	0	meV per atom
uncorrected formation energy	975	meV/atom

Here is a relaxed Cs2VS3 crystal from the Alexandria database. Energies are from PBE.

Unit cell a=7.185 b=14.400 c=16.389 alpha=90.00 beta=90.02 gamma=90.00
Space group C2/c (No. 15)
Inequivalent atoms, fractional coordinates:
Cs: 0.249 0.186 0.144 [8 per cell]
Cs: 0.250 0.108 0.574 [8 per cell]
V: 0.250 0.005 0.328 [8 per cell]
S: 0.000 0.028 0.750 [4 per cell]
S: 0.000 0.472 0.250 [4 per cell]
S: 0.249 0.349 0.639 [8 per cell]
S: 0.250 0.083 0.936 [8 per cell]

## Properties
final energy	-239.976	eV for the cell shown
uncorrected formation energy	-1131	meV/atom

Here is a relaxed Cs3VS crystal from the Alexandria database. Energies are from PBE.

Unit cell a=6.781 b=6.781 c=6.781 alpha=90.00 beta=90.00 gamma=90.00
Space group Pm-3m (No. 221)
Inequivalent atoms, fractional coordinates:
Cs: 0.000 0.000 0.500 [3 per cell]
V: 0.500 0.500 0.500 [1 per cell]
S: 0.000 0.000 0.000 [1 per cell]

## Properties
final energy	-14.605	eV for the cell shown
uncorrected formation energy	240	meV/atom

Here is a relaxed CsV4S8 crystal from the Alexandria database. Energies are from PBE.

Unit cell a=6.4116 b=6.4116 c=26.8068 alpha=90.00 beta=90.00 gamma=120.00
Space group R-3m (No. 166, hexagonal axes)
Inequivalent atoms, fractional coordinates:
Cs: 0.0000 0.0000 0.0000 [3 per cell]
V: 0.0000 0.0000 0.5000 [3 per cell]
V: 0.0000 0.5000 0.5000 [9 per cell]
S: 0.0000 0.0000 0.2215 [6 per cell]
S: 0.0013 0.5007 0.2212 [18 per cell]

## Properties
final energy	-249.673	eV for the cell shown
uncorrected formation energy	-991	meV/atom

Here is a relaxed CsV2S2 crystal from the Alexandria database. Energies are from PBE.

Unit cell a=4.874 b=4.874 c=8.321 alpha=90.00 beta=90.00 gamma=90.00
Space group I4/mmm (No. 139)
Inequivalent atoms, fractional coordinates:
Cs: 0.000 0.000 0.000 [2 per cell]
V: 0.000 0.000 0.381 [4 per cell]
S: 0.000 0.500 0.250 [4 per cell]

## Properties
final energy	-56.781	eV for the cell shown
energy relative to the lowest polymorph listed for this composition	556	meV per atom
uncorrected formation energy	-209	meV/atom

Here is a relaxed CsVS4 crystal from the Alexandria database. Energies are from PBE.

Unit cell a=8.005 b=17.211 c=5.720 alpha=90.00 beta=95.97 gamma=90.00
Space group C2/c (No. 15)
Inequivalent atoms, fractional coordinates:
Cs: 0.000 0.173 0.250 [4 per cell]
V: 0.000 0.422 0.250 [4 per cell]
S: 0.108 0.443 0.664 [8 per cell]
S: 0.212 0.353 0.205 [8 per cell]

## Properties
final energy	-123.970	eV for the cell shown
uncorrected formation energy	-752	meV/atom